Record 1
! RbBa4Tl2, relaxed, DFT PBE; values from VASP
&SYSTEM
  ibrav = 0, nat = 7, ntyp = 3
/
ATOMIC_SPECIES
Tl 204.38 Tl.upf
Ba 137.33 Ba.upf
Rb 85.47 Rb.upf
ATOMIC_POSITIONS angstrom
Tl 6.6420 6.6420 7.1981
Tl 3.3210 3.3210 1.6331
Ba 0.0000 3.3210 0.0000
Ba 3.3210 3.3210 4.9829
Rb 0.0000 0.0000 0.0000
Ba 3.3210 0.0000 0.0000
Ba 6.6420 6.6420 3.8483
CELL_PARAMETERS angstrom
6.6420 0.0000 0.0000
0.0000 6.6420 0.0000
3.3210 3.3210 8.8312
! Magnetic moment   0.0 μB/cell
! Energy   -1.6980 eV per atom
! N(E_F)   5.95 states/eV per cell
! Formation energy from the elements   0.215 eV/atom



Record 2
! K2AgN2, relaxed, DFT PBE; values from VASP
&SYSTEM
  ibrav = 0, nat = 10, ntyp = 3
/
ATOMIC_SPECIES
Ag 107.87 Ag.upf
K 39.10 K.upf
N 14.01 N.upf
ATOMIC_POSITIONS angstrom
Ag 0.0000 0.0000 0.0000
K 6.3224 2.1860 1.8429
K 1.9503 6.0867 1.8429
K 2.1860 1.9503 1.8429
K 6.0867 6.3224 1.8429
N 7.8565 4.5526 0.0000
Ag 4.1364 4.1364 0.0000
N 3.7202 7.8565 0.0000
N 0.4162 3.7202 0.0000
N 4.5526 0.4162 0.0000
CELL_PARAMETERS angstrom
8.2727 0.0000 0.0000
0.0000 8.2727 0.0000
0.0000 0.0000 3.6859
! Magnetic moment   2.0 μB/cell
! Energy   -4.3224 eV per atom
! E_form (uncorrected)   0.017 eV per atom
! N(E_F)   2.82 states/eV per cell
! Distance to the lowest polymorph of the same formula   0 meV/atom



Record 3
! LiMg2Al2Ag5, relaxed, DFT PBE; values from VASP
&SYSTEM
  ibrav = 0, nat = 20, ntyp = 4
/
ATOMIC_SPECIES
Ag 107.87 Ag.upf
Mg 24.30 Mg.upf
Al 26.98 Al.upf
Li 6.94 Li.upf
ATOMIC_POSITIONS angstrom
Ag 1.9006 4.3462 2.9763
Ag 1.9006 5.5198 6.8897
Ag 1.9006 6.8897 4.3462
Ag 1.9006 9.2791 1.9567
Ag 1.9006 2.9763 5.5198
Mg 0.0000 6.6176 1.6847
Mg 0.0000 1.6847 3.2483
Al 0.0000 6.2232 8.5757
Ag 1.9006 4.9330 0.0000
Al 0.0000 8.5757 3.6427
Ag 1.9006 0.0000 4.9330
Li 0.0000 0.0000 0.0000
Mg 0.0000 8.1813 6.6176
Al 0.0000 1.2903 6.2232
Al 0.0000 3.6427 1.2903
Li 0.0000 4.9330 4.9330
Ag 1.9006 7.9093 9.2791
Mg 0.0000 3.2483 8.1813
Ag 1.9006 0.5868 7.9093
Ag 1.9006 1.9567 0.5868
CELL_PARAMETERS angstrom
3.8012 0.0000 0.0000
0.0000 9.8660 0.0000
0.0000 0.0000 9.8660
! Magnetic moment   0.0 μB/cell
! Energy   -2.7739 eV per atom
! N(E_F)   4.05 states/eV per cell
! Formation energy from the elements   -0.089 eV/atom



Record 4
! CdPbAu3, relaxed, DFT PBE; values from VASP
&SYSTEM
  ibrav = 0, nat = 5, ntyp = 3
/
ATOMIC_SPECIES
Pb 207.20 Pb.upf
Cd 112.41 Cd.upf
Au 196.97 Au.upf
ATOMIC_POSITIONS angstrom
Pb -2.5801 -3.4564 1.2125
Cd 0.0000 0.0000 0.0000
Au -1.4473 -0.1043 2.1414
Au 0.8398 -2.4048 0.4505
Au -1.9726 -0.9473 -1.3794
CELL_PARAMETERS angstrom
-2.8947 -0.2086 4.2828
-3.9451 -1.8947 -2.7588
1.6797 -4.8095 0.9011
! Magnetic moment   0.0 μB/cell
! Energy   -2.4945 eV per atom
! N(E_F)   1.89 states/eV per cell
! Distance to the lowest polymorph of the same formula   461 meV/atom
! Formation energy from the elements   0.397 eV/atom



Record 5
! BaIn2Ga2, relaxed, DFT PBE; values from VASP
&SYSTEM
  ibrav = 0, nat = 10, ntyp = 3
/
ATOMIC_SPECIES
Ga 69.72 Ga.upf
Ba 137.33 Ba.upf
In 114.82 In.upf
ATOMIC_POSITIONS angstrom
Ga 3.2234 7.5578 0.0000
Ba 4.3344 4.3344 0.0000
Ga 7.5578 5.4455 0.0000
Ga 5.4455 1.1110 0.0000
In 1.3551 5.6895 1.7922
Ba 0.0000 0.0000 0.0000
In 5.6895 7.3138 1.7922
In 2.9793 1.3551 1.7922
Ga 1.1110 3.2234 0.0000
In 7.3138 2.9793 1.7922
CELL_PARAMETERS angstrom
8.6689 0.0000 0.0000
0.0000 8.6689 0.0000
0.0000 0.0000 3.5845
! Magnetic moment   0.0 μB/cell
! Energy   -2.8648 eV per atom
! N(E_F)   5.71 states/eV per cell
! Formation energy from the elements   -0.174 eV/atom



Record 6
! Ni2AgIr, relaxed, DFT PBE; values from VASP
&SYSTEM
  ibrav = 0, nat = 4, ntyp = 3
/
ATOMIC_SPECIES
Ni 58.69 Ni.upf
Ir 192.22 Ir.upf
Ag 107.87 Ag.upf
ATOMIC_POSITIONS angstrom
Ni 0.0000 0.0000 0.0000
Ir 2.3612 -0.0011 1.3172
Ag 3.2538 2.1849 0.0000
Ni 0.8926 2.1860 1.3172
CELL_PARAMETERS angstrom
4.7224 -0.0022 0.0000
1.7852 4.3720 0.0000
-3.2538 -2.1849 2.6344
! Magnetic moment   2.0 μB/cell
! Energy   -5.4821 eV per atom
! N(E_F)   4.25 states/eV per cell
! Distance to the lowest polymorph of the same formula   202 meV/atom
! Formation energy from the elements   0.337 eV/atom



Record 7
! La2Ga9Ru6, relaxed, DFT PBE; values from VASP
&SYSTEM
  ibrav = 0, nat = 17, ntyp = 3
/
ATOMIC_SPECIES
Ga 69.72 Ga.upf
Ru 101.07 Ru.upf
La 138.91 La.upf
ATOMIC_POSITIONS angstrom
Ga 2.7929 0.0000 10.0408
Ru 0.0000 3.2250 3.9369
Ga 2.7929 0.0000 1.9397
Ga 1.3965 2.4187 5.9902
Ga 2.7929 0.0000 5.9902
Ru 0.0000 3.2250 8.0436
Ru 2.7929 1.6125 3.9369
Ga -1.3965 2.4187 5.9902
Ru 2.7929 1.6125 8.0436
La 0.0000 0.0000 8.0555
Ru 2.7929 1.6125 0.0000
Ga -1.3965 2.4187 10.0408
Ga 1.3965 2.4187 10.0408
Ga 1.3965 2.4187 1.9397
Ga -1.3965 2.4187 1.9397
Ru 0.0000 3.2250 0.0000
La 0.0000 0.0000 3.9249
CELL_PARAMETERS angstrom
5.5858 0.0000 0.0000
-2.7929 4.8375 0.0000
0.0000 0.0000 11.9805
! Magnetic moment   1.7 μB/cell
! Energy   -5.7302 eV per atom
! N(E_F)   16.75 states/eV per cell
! Formation energy from the elements   -0.274 eV/atom



Record 8
! CaLaMg2Hg2, relaxed, DFT PBE; values from VASP
&SYSTEM
  ibrav = 0, nat = 6, ntyp = 4
/
ATOMIC_SPECIES
Hg 200.59 Hg.upf
Mg 24.30 Mg.upf
La 138.91 La.upf
Ca 40.08 Ca.upf
ATOMIC_POSITIONS angstrom
Hg 0.0000 2.9008 1.7650
Mg 0.0000 2.9008 5.5403
Hg 2.5122 1.4504 5.6407
Mg 2.5122 1.4504 1.8654
La 0.0000 0.0000 0.0000
Ca 0.0000 0.0000 3.7029
CELL_PARAMETERS angstrom
5.0244 0.0000 0.0000
-2.5122 4.3513 0.0000
0.0000 0.0000 7.4057
! Magnetic moment   0.0 μB/cell
! Energy   -2.1549 eV per atom
! N(E_F)   5.86 states/eV per cell
! Formation energy from the elements   -0.368 eV/atom



Record 9
! Y2InI, relaxed, DFT PBE; values from VASP
&SYSTEM
  ibrav = 0, nat = 4, ntyp = 3
/
ATOMIC_SPECIES
Y 88.91 Y.upf
In 114.82 In.upf
I 126.90 I.upf
ATOMIC_POSITIONS angstrom
Y -0.8953 -3.2030 -0.2639
In 0.0000 0.0000 0.0000
Y -2.6860 -9.6091 -0.7917
I -1.7907 -6.4061 -0.5278
CELL_PARAMETERS angstrom
-0.2192 -4.7859 2.5941
-4.1658 -3.3953 -0.8948
0.8036 -4.6311 -2.7549
! Magnetic moment   0.0 μB/cell
! Energy   -4.7280 eV per atom
! E_form (uncorrected)   -0.424 eV per atom
! N(E_F)   1.32 states/eV per cell
! Distance to the lowest polymorph of the same formula   156 meV/atom



Record 10
! SmAsO4F, relaxed, DFT PBE; values from VASP
&SYSTEM
  ibrav = 0, nat = 14, ntyp = 4
/
ATOMIC_SPECIES
O 16.00 O.upf
As 74.92 As.upf
F 19.00 F.upf
Sm 150.36 Sm.upf
ATOMIC_POSITIONS angstrom
O 4.9283 3.4930 5.1419
As 6.2965 4.4628 4.7940
F 9.1620 6.4937 5.4017
Sm 3.0566 2.1664 5.8701
F 0.3813 0.2702 1.1906
As 3.2467 2.3012 1.7983
O 3.0784 2.1819 3.4806
Sm 6.4866 4.5975 0.7222
O 1.8427 2.9241 1.0169
O 3.3694 0.7701 1.0169
O 6.1738 5.9938 5.5754
O 4.6149 3.2709 1.4504
O 7.7005 3.8399 5.5754
O 6.4648 4.5821 3.1117
CELL_PARAMETERS angstrom
6.0910 -0.2028 0.0177
1.8262 5.8144 0.0177
1.6260 1.1525 6.5570
! Magnetic moment   2.1 μB/cell
! Energy   -6.5467 eV per atom
! E_form (uncorrected)   -2.108 eV per atom
! N(E_F)   6.48 states/eV per cell



Record 11
! Ag3SnH, relaxed, DFT PBE; values from VASP
&SYSTEM
  ibrav = 0, nat = 5, ntyp = 3
/
ATOMIC_SPECIES
Ag 107.87 Ag.upf
Sn 118.71 Sn.upf
H 1.01 H.upf
ATOMIC_POSITIONS angstrom
Ag 0.0000 2.1720 0.0000
Sn 2.1720 2.1720 2.1720
Ag 0.0000 0.0000 2.1720
H 0.0000 0.0000 0.0000
Ag 2.1720 0.0000 0.0000
CELL_PARAMETERS angstrom
4.3440 0.0000 0.0000
0.0000 4.3440 0.0000
0.0000 0.0000 4.3440
! Magnetic moment   0.0 μB/cell
! Energy   -2.9826 eV per atom
! N(E_F)   1.20 states/eV per cell
! Distance to the lowest polymorph of the same formula   0 meV/atom



Record 12
! Ac2MgAs4Rh3, relaxed, DFT PBE; values from VASP
&SYSTEM
  ibrav = 0, nat = 10, ntyp = 4
/
ATOMIC_SPECIES
Rh 102.91 Rh.upf
Ac 227.00 Ac.upf
As 74.92 As.upf
Mg 24.30 Mg.upf
ATOMIC_POSITIONS angstrom
Rh 3.5865 -3.5682 1.5094
Ac 0.6125 -1.9841 2.6105
As -2.2852 -1.8905 0.9608
As 3.5335 -4.8902 3.8398
As 0.0000 0.0000 0.0000
Rh 5.2661 -6.6140 4.5690
As 1.3543 -4.1366 0.1398
Rh -0.3783 -2.4128 -0.5894
Mg 1.3013 -5.4586 2.4702
Ac 4.2754 -7.0427 1.3692
CELL_PARAMETERS angstrom
-2.1763 -0.5844 3.7895
-2.3941 -3.1965 -1.8679
7.1730 -7.1363 3.0188
! Magnetic moment   0.0 μB/cell
! Energy   -5.9632 eV per atom
! N(E_F)   3.94 states/eV per cell
! Formation energy from the elements   -0.917 eV/atom